This record from Alexandria describes an optimized crystal structure of CrAg3O4. The functional is PBE with a Hubbard U.

The structure in POSCAR format:
```
CrAg3O4
1.0
6.8727 0.0000 0.0000
0.0000 6.9529 0.0000
0.0000 0.0000 5.1478
Cr Ag O
2 6 8
Cartesian
0.0000 0.6204 0.0000
3.4364 6.3325 2.5739
0.0000 4.8819 2.5991
1.6344 2.6157 2.5006
1.8019 4.3372 5.0745
3.4364 2.0711 0.0252
5.0708 4.3372 5.0745
5.2383 2.6157 2.5006
0.0000 0.9469 1.6274
0.0000 5.8874 4.8260
1.3579 1.3340 4.4820
2.0785 5.6189 1.9081
3.4364 1.0655 2.2521
3.4364 6.0061 4.2013
4.7942 5.6189 1.9081
5.5149 1.3340 4.4820
```

calculated density	5.93	g cm⁻³
space-group type	Pmn2_1, No. 31
E_tot	-80.66	eV for the cell shown